## ICl (PBE)

Data for ICl after structural relaxation.

Structure (CIF):
```
data_ICl
_chemical_formula_sum 'I2 Cl2'
_symmetry_space_group_name_H-M 'P 1'
_symmetry_Int_Tables_number 1
_symmetry_space_group_name_Hall 'P 1'
_cell_length_a 3.766
_cell_length_b 5.416
_cell_length_c 8.993
_cell_angle_alpha 89.87
_cell_angle_beta 78.00
_cell_angle_gamma 90.01
loop_
_atom_site_label
_atom_site_fract_x
_atom_site_fract_y
_atom_site_fract_z
I1 0.368 0.979 0.412
I2 0.546 0.481 0.052
Cl1 0.235 0.978 0.681
Cl2 0.530 0.981 0.085
```

Summary:
symmetry: P1
total magnetization: 0.00 μB per formula unit


## ICl (PBE)

Data for ICl after structural relaxation.

Structure (CIF):
```
data_ICl
_chemical_formula_sum 'I4 Cl4'
_symmetry_space_group_name_H-M 'P 1'
_symmetry_Int_Tables_number 1
_symmetry_space_group_name_Hall 'P 1'
_cell_length_a 8.335
_cell_length_b 8.335
_cell_length_c 5.314
_cell_angle_alpha 90.00
_cell_angle_beta 90.00
_cell_angle_gamma 90.00
loop_
_atom_site_label
_atom_site_fract_x
_atom_site_fract_y
_atom_site_fract_z
I1 0.640 0.640 0.000
I2 0.140 0.860 0.500
I3 0.860 0.140 0.500
I4 0.360 0.360 0.000
Cl1 0.853 0.147 0.000
Cl2 0.353 0.353 0.500
Cl3 0.647 0.647 0.500
Cl4 0.147 0.853 0.000
```

Summary:
symmetry: P4_2/mnm
total magnetization: 0.00 μB per formula unit


## I3Cl2 (PBE)

Data for I3Cl2 after structural relaxation.

Structure (CIF):
```
data_I3Cl2
_chemical_formula_sum 'I6 Cl4'
_symmetry_space_group_name_H-M 'P 1'
_symmetry_Int_Tables_number 1
_symmetry_space_group_name_Hall 'P 1'
_cell_length_a 5.442
_cell_length_b 5.443
_cell_length_c 21.724
_cell_angle_alpha 101.68
_cell_angle_beta 101.58
_cell_angle_gamma 48.96
loop_
_atom_site_label
_atom_site_fract_x
_atom_site_fract_y
_atom_site_fract_z
I1 0.486 0.508 0.000
I2 0.758 0.237 0.500
I3 0.734 0.526 0.274
I4 0.252 0.462 0.726
I5 0.777 0.484 0.773
I6 0.713 0.000 0.227
Cl1 0.142 0.942 0.084
Cl2 0.831 0.076 0.916
Cl3 0.191 0.895 0.584
Cl4 0.326 0.580 0.416
```

Summary:
symmetry: P1
total magnetization: 0.00 μB per formula unit


no.,uncorrected formation energy (eV/atom),raw total energy (eV/atom),volume (Å³ per cell)
1,-0.020,-1.719,179.4
2,0.045,-1.654,369.2
3,-0.040,-1.709,473.3